Entry 1:
YGa: relaxed, GGA-PBE.

Lattice parameters (Å, degrees): 5.835 5.835 5.970 90.00 90.00 90.00
Positions (direct):
Y: 0.203 0.203 0.000
Y: 0.297 0.703 0.500
Y: 0.703 0.297 0.500
Y: 0.797 0.797 0.000
Ga: 0.190 0.190 0.500
Ga: 0.310 0.690 0.000
Ga: 0.690 0.310 0.000
Ga: 0.810 0.810 0.500

## Properties
E_form: -318 meV per atom

Entry 2:
Y4Zn2Ga: relaxed, GGA-PBE.

Lattice parameters (Å, degrees): 8.645 8.645 8.645 33.73 33.73 33.73
Positions (direct):
Y: 0.121 0.121 0.121
Y: 0.373 0.373 0.373
Y: 0.627 0.627 0.627
Y: 0.879 0.879 0.879
Zn: 0.249 0.249 0.249
Zn: 0.751 0.751 0.751
Ga: 0.500 0.500 0.500

## Properties
E_form: -280 meV per atom

Entry 3:
YZn2Ga2: relaxed, GGA-PBE.

Lattice parameters (Å, degrees): 7.731 7.731 3.198 90.00 90.00 90.00
Positions (direct):
Y: 0.000 0.000 0.000
Y: 0.500 0.500 0.000
Zn: 0.167 0.333 0.500
Zn: 0.333 0.833 0.500
Zn: 0.667 0.167 0.500
Zn: 0.833 0.667 0.500
Ga: 0.129 0.629 0.000
Ga: 0.371 0.129 0.000
Ga: 0.629 0.871 0.000
Ga: 0.871 0.371 0.000

## Properties
E_form: -179 meV per atom

Entry 4:
Y3Zn2Ga: relaxed, GGA-PBE.

Lattice parameters (Å, degrees): 3.577 3.577 10.766 90.00 90.00 90.00
Positions (direct):
Y: 0.000 0.000 0.000
Y: 0.000 0.000 0.332
Y: 0.000 0.000 0.668
Zn: 0.500 0.500 0.163
Zn: 0.500 0.500 0.837
Ga: 0.500 0.500 0.500

## Properties
E above lowest polymorph: 0.006 eV per atom
E_form: -446 meV per atom

Entry 5:
YZn6Ga6: relaxed, GGA-PBE.

Lattice parameters (Å, degrees): 6.938 6.938 6.938 132.37 100.32 98.44
Positions (direct):
Y: 0.000 0.000 0.000
Zn: 0.000 0.000 0.500
Zn: 0.000 0.500 0.000
Zn: 0.231 0.500 0.731
Zn: 0.500 0.000 0.000
Zn: 0.500 0.500 0.500
Zn: 0.769 0.500 0.269
Ga: 0.184 0.684 0.500
Ga: 0.348 0.348 0.000
Ga: 0.353 0.000 0.353
Ga: 0.647 0.000 0.647
Ga: 0.652 0.652 0.000
Ga: 0.816 0.316 0.500

## Properties
E_form: -116 meV per atom

Entry 6:
YZnGa: relaxed, GGA-PBE.

Lattice parameters (Å, degrees): 4.411 4.411 14.513 90.00 90.00 120.00
Positions (direct):
Y: 0.000 0.000 0.000
Y: 0.000 0.000 0.250
Y: 0.000 0.000 0.500
Y: 0.000 0.000 0.750
Zn: 0.333 0.667 0.123
Zn: 0.333 0.667 0.377
Zn: 0.667 0.333 0.623
Zn: 0.667 0.333 0.877
Ga: 0.333 0.667 0.624
Ga: 0.333 0.667 0.876
Ga: 0.667 0.333 0.124
Ga: 0.667 0.333 0.376

## Properties
E_form: -575 meV per atom

Entry 7:
Y4ZnGa3: relaxed, GGA-PBE.

Lattice parameters (Å, degrees): 4.143 4.225 11.026 90.00 90.00 90.00
Positions (direct):
Y: 0.000 0.000 0.000
Y: 0.000 0.500 0.498
Y: 0.500 0.000 0.281
Y: 0.500 0.500 0.783
Zn: 0.500 0.000 0.567
Ga: 0.000 0.000 0.719
Ga: 0.000 0.500 0.215
Ga: 0.500 0.500 0.067

## Properties
E above lowest polymorph: 0.005 eV per atom
E_form: -569 meV per atom

Entry 8:
Y2Zn3Ga2: relaxed, GGA-PBE.

Lattice parameters (Å, degrees): 5.798 5.798 6.234 103.93 103.93 43.59
Positions (direct):
Y: 0.118 0.118 0.336
Y: 0.882 0.882 0.664
Zn: 0.223 0.223 0.859
Zn: 0.500 0.500 0.000
Zn: 0.777 0.777 0.141
Ga: 0.396 0.396 0.316
Ga: 0.604 0.604 0.684

## Properties
E above lowest polymorph: 0.070 eV per atom
E_form: -411 meV per atom

Entry 9:
Y5Zn2Ga: relaxed, GGA-PBE.

Lattice parameters (Å, degrees): 9.181 9.181 9.181 132.39 132.39 69.61
Positions (direct):
Y: 0.000 0.000 0.000
Y: 0.019 0.519 0.839
Y: 0.179 0.019 0.500
Y: 0.321 0.821 0.839
Y: 0.481 0.321 0.500
Y: 0.500 0.500 0.000
Y: 0.519 0.679 0.500
Y: 0.679 0.179 0.161
Y: 0.821 0.981 0.500
Y: 0.981 0.481 0.161
Zn: 0.120 0.380 0.500
Zn: 0.380 0.880 0.259
Zn: 0.620 0.120 0.741
Zn: 0.880 0.620 0.500
Ga: 0.250 0.250 0.000
Ga: 0.750 0.750 0.000

## Properties
E_form: -339 meV per atom

Entry 10:
Y2Zn3Ga4: relaxed, GGA-PBE.

Lattice parameters (Å, degrees): 8.121 8.121 7.716 90.00 90.00 138.58
Positions (direct):
Y: 0.108 0.892 0.904
Y: 0.392 0.608 0.404
Y: 0.608 0.392 0.596
Y: 0.892 0.108 0.096
Zn: 0.000 0.000 0.500
Zn: 0.021 0.479 0.750
Zn: 0.479 0.021 0.250
Zn: 0.500 0.500 0.000
Zn: 0.521 0.979 0.750
Zn: 0.979 0.521 0.250
Ga: 0.175 0.825 0.521
Ga: 0.190 0.310 0.750
Ga: 0.310 0.190 0.250
Ga: 0.325 0.675 0.021
Ga: 0.675 0.325 0.979
Ga: 0.690 0.810 0.750
Ga: 0.810 0.690 0.250
Ga: 0.825 0.175 0.479

## Properties
E_form: -422 meV per atom

Entry 11:
Y7Zn2Ga2: relaxed, GGA-PBE.

Lattice parameters (Å, degrees): 6.630 6.630 7.429 90.00 90.00 110.97
Positions (direct):
Y: 0.000 0.000 0.000
Y: 0.000 0.500 0.283
Y: 0.000 0.500 0.717
Y: 0.500 0.000 0.283
Y: 0.500 0.000 0.717
Y: 0.500 0.500 0.258
Y: 0.500 0.500 0.742
Zn: 0.291 0.709 0.000
Zn: 0.709 0.291 0.000
Ga: 0.171 0.171 0.500
Ga: 0.829 0.829 0.500

## Properties
E_form: -102 meV per atom

Entry 12:
Y3Zn3Ga8: relaxed, GGA-PBE.

Lattice parameters (Å, degrees): 8.261 8.261 8.261 150.40 105.67 81.98
Positions (direct):
Y: 0.000 0.000 0.000
Y: 0.314 0.314 0.000
Y: 0.686 0.686 0.000
Zn: 0.297 0.500 0.797
Zn: 0.500 0.000 0.500
Zn: 0.703 0.500 0.203
Ga: 0.031 0.658 0.373
Ga: 0.141 0.861 0.280
Ga: 0.286 0.658 0.627
Ga: 0.419 0.139 0.280
Ga: 0.581 0.861 0.720
Ga: 0.714 0.342 0.373
Ga: 0.859 0.139 0.720
Ga: 0.969 0.342 0.627

## Properties
E_form: -445 meV per atom

Entry 13:
YZnGa: relaxed, GGA-PBE.

Lattice parameters (Å, degrees): 5.693 5.693 5.693 134.13 96.22 101.27
Positions (direct):
Y: 0.225 0.250 0.475
Y: 0.775 0.750 0.525
Zn: 0.207 0.538 0.170
Zn: 0.368 0.038 0.830
Ga: 0.628 0.968 0.160
Ga: 0.808 0.468 0.840

## Properties
E_form: -556 meV per atom

Entry 14:
YZn3Ga3: relaxed, GGA-PBE.

Lattice parameters (Å, degrees): 6.853 6.853 6.853 90.00 90.00 90.00
Positions (direct):
Y: 0.000 0.000 0.000
Y: 0.500 0.500 0.500
Zn: 0.000 0.250 0.500
Zn: 0.000 0.750 0.500
Zn: 0.250 0.500 0.000
Zn: 0.500 0.000 0.250
Zn: 0.500 0.000 0.750
Zn: 0.750 0.500 0.000
Ga: 0.000 0.500 0.250
Ga: 0.000 0.500 0.750
Ga: 0.250 0.000 0.500
Ga: 0.500 0.250 0.000
Ga: 0.500 0.750 0.000
Ga: 0.750 0.000 0.500

## Properties
E_form: 204 meV per atom

Entry 15:
YZnGa: relaxed, GGA-PBE.

Lattice parameters (Å, degrees): 4.353 5.818 5.826 104.95 111.56 100.10
Positions (direct):
Y: 0.194 0.203 0.348
Y: 0.806 0.797 0.652
Zn: 0.485 0.790 0.058
Zn: 0.515 0.210 0.942
Ga: 0.032 0.653 0.225
Ga: 0.968 0.347 0.775

## Properties
E_form: -448 meV per atom

Entry 16:
Y3Zn2Ga: relaxed, GGA-PBE.

Lattice parameters (Å, degrees): 5.058 5.058 6.219 90.00 90.00 120.00
Positions (direct):
Y: 0.000 0.000 0.000
Y: 0.333 0.667 0.666
Y: 0.667 0.333 0.334
Zn: 0.333 0.667 0.154
Zn: 0.667 0.333 0.846
Ga: 0.000 0.000 0.500

## Properties
E above lowest polymorph: 0.000 eV per atom
E_form: -451 meV per atom

Entry 17:
YZnGa: relaxed, GGA-PBE.

Lattice parameters (Å, degrees): 4.899 4.899 5.940 90.00 90.00 120.00
Positions (direct):
Y: 0.333 0.667 0.250
Y: 0.667 0.333 0.750
Zn: 0.000 0.000 0.000
Zn: 0.000 0.000 0.500
Ga: 0.333 0.667 0.750
Ga: 0.667 0.333 0.250

## Properties
E_form: -411 meV per atom

Entry 18:
Y2ZnGa2: relaxed, GGA-PBE.

Lattice parameters (Å, degrees): 5.775 5.775 10.471 115.70 115.70 44.73
Positions (direct):
Y: 0.017 0.017 0.331
Y: 0.184 0.184 0.097
Y: 0.816 0.816 0.903
Y: 0.983 0.983 0.669
Zn: 0.275 0.275 0.656
Zn: 0.725 0.725 0.344
Ga: 0.361 0.361 0.433
Ga: 0.479 0.479 0.116
Ga: 0.521 0.521 0.884
Ga: 0.639 0.639 0.567

## Properties
E above lowest polymorph: 0.000 eV per atom
E_form: -608 meV per atom

Entry 19:
Y2Zn3Ga: relaxed, GGA-PBE.

Lattice parameters (Å, degrees): 8.121 8.121 8.121 151.71 149.92 41.76
Positions (direct):
Y: 0.000 0.000 0.000
Y: 0.748 0.248 0.500
Zn: 0.166 0.666 0.500
Zn: 0.328 0.828 0.500
Zn: 0.419 0.419 0.000
Ga: 0.583 0.583 0.000

## Properties
E above lowest polymorph: 0.069 eV per atom
E_form: -416 meV per atom

Entry 20:
Y3Zn8Ga3: relaxed, GGA-PBE.

Lattice parameters (Å, degrees): 8.159 8.159 8.159 149.67 107.55 80.53
Positions (direct):
Y: 0.000 0.000 0.000
Y: 0.311 0.311 0.000
Y: 0.689 0.689 0.000
Zn: 0.034 0.664 0.371
Zn: 0.129 0.858 0.271
Zn: 0.293 0.664 0.629
Zn: 0.414 0.142 0.271
Zn: 0.586 0.858 0.729
Zn: 0.707 0.336 0.371
Zn: 0.871 0.142 0.729
Zn: 0.966 0.336 0.629
Ga: 0.287 0.500 0.787
Ga: 0.500 0.000 0.500
Ga: 0.713 0.500 0.213

## Properties
E_form: -390 meV per atom